(1)
The following is a DFT calculation (PBE-GGA) of a geometry-optimized Ho2PdPt3 structure.

Unit cell a=10.265 b=10.265 c=10.838 alpha=140.49 beta=140.50 gamma=51.00
Sites, in units of the cell vectors:
Ho  0.969  0.588  0.255
Ho  0.964  0.083  0.245
Ho  0.464  0.595  0.251
Ho  0.405  0.536  0.749
Ho  0.412  0.031  0.745
Ho  0.463  0.094  0.249
Ho  0.917  0.036  0.755
Ho  0.906  0.537  0.751
Pd  0.617  0.742  0.250
Pd  0.258  0.383  0.750
Pd  0.759  0.384  0.750
Pd  0.616  0.241  0.250
Pt  0.934  0.559  0.499
Pt  0.686  0.811  0.001
Pt  0.937  0.063  0.500
Pt  0.687  0.313  0.000
Pt  0.263  0.887  0.752
Pt  0.441  0.066  0.501
Pt  0.115  0.240  0.252
Pt  0.439  0.561  0.500
Pt  0.760  0.885  0.748
Pt  0.189  0.314  0.999
Pt  0.113  0.737  0.248
Pt  0.189  0.811  0.000

Calculated values
Distance to the lowest polymorph of the same formula = 0.0 meV/atom
E_form = -1.10 eV/atom
Volume = 460.5 Å³/cell

---

(2)
The following is a DFT calculation (PBE-GGA) of a geometry-optimized LiTi3Cl structure.

Unit cell a=4.511 b=4.511 c=4.511 alpha=90.00 beta=90.00 gamma=90.00
Sites, in units of the cell vectors:
Ti  0.000  0.500  0.000
Ti  0.500  0.000  0.000
Ti  0.000  0.000  0.500
Li  0.500  0.500  0.500
Cl  0.000  0.000  0.000

Calculated values
Distance to the lowest polymorph of the same formula = 0.0 meV/atom
Formation energy without anion corrections = 0.177 eV per atom
Volume = 91.8 Å³/cell

---

(3)
The following is a DFT calculation (PBE-GGA) of a geometry-optimized CrAgCl2 structure.

Unit cell a=3.699 b=3.699 c=6.472 alpha=90.00 beta=90.00 gamma=90.00
Each line ends with the local moment (μB).
Sites, in units of the cell vectors:
Cl  0.500  0.500  0.340  0.08
Cl  0.000  0.000  0.892  0.04
Ag  0.500  0.500  0.759  0.08
Cr  0.000  0.000  0.509  4.12

Calculated values
Distance to the lowest polymorph of the same formula = 196.9 meV/atom
Formation energy without anion corrections = -0.198 eV per atom
Volume = 88.5 Å³/cell

---

(4)
The following is a DFT calculation (PBE-GGA) of a geometry-optimized TlSn2Bi2 structure.

Unit cell a=8.867 b=8.867 c=4.039 alpha=90.00 beta=90.00 gamma=90.00
Sites, in units of the cell vectors:
Tl  0.500  0.500  0.000
Tl  0.000  0.000  0.000
Bi  0.349  0.151  0.500
Bi  0.651  0.849  0.500
Bi  0.151  0.651  0.500
Bi  0.849  0.349  0.500
Sn  0.136  0.364  0.000
Sn  0.364  0.864  0.000
Sn  0.636  0.136  0.000
Sn  0.864  0.636  0.000

Calculated values
Distance to the lowest polymorph of the same formula = 19.8 meV/atom
E_form = 0.06 eV/atom
Volume = 317.6 Å³/cell

---

(5)
The following is a DFT calculation (PBE-GGA) of a geometry-optimized PrHo2TmS6 structure.

Unit cell a=6.956 b=6.956 c=7.363 alpha=61.81 beta=61.81 gamma=59.99
Sites, in units of the cell vectors:
Tm  0.317  0.317  0.049
Ho  0.013  0.013  0.960
Ho  0.518  0.518  0.445
S  0.721  0.137  0.750
S  0.393  0.720  0.750
S  0.137  0.393  0.750
S  0.224  0.918  0.246
S  0.611  0.224  0.246
S  0.918  0.611  0.246
Pr  0.809  0.809  0.574

Calculated values
Formation energy without anion corrections = -2.043 eV per atom
Volume = 258.6 Å³/cell

---

(6)
The following is a DFT calculation (PBE-GGA) of a geometry-optimized VTcSnRh structure.

Unit cell a=4.443 b=4.443 c=4.443 alpha=60.00 beta=60.00 gamma=60.00
Each line ends with the local moment (μB).
Sites, in units of the cell vectors:
V  0.500  0.500  0.500  1.04
Tc  0.750  0.750  0.750  -0.23
Rh  0.250  0.250  0.250  0.16
Sn  0.000  0.000  0.000  -0.01

Calculated values
E_form = -0.23 eV/atom
Volume = 62.0 Å³/cell

---

(7)
The following is a DFT calculation (PBE-GGA) of a geometry-optimized Cr4GaSe8 structure.

Unit cell a=7.389 b=7.389 c=7.389 alpha=60.00 beta=60.00 gamma=60.00
Each line ends with the local moment (μB).
Sites, in units of the cell vectors:
Se  0.614  0.158  0.614  -0.10
Se  0.158  0.614  0.614  -0.10
Se  0.130  0.130  0.130  -0.17
Se  0.610  0.130  0.130  -0.17
Se  0.614  0.614  0.158  -0.10
Se  0.130  0.610  0.130  -0.17
Se  0.130  0.130  0.610  -0.17
Se  0.614  0.614  0.614  -0.10
Cr  0.901  0.366  0.366  2.85
Cr  0.366  0.901  0.366  2.85
Cr  0.366  0.366  0.366  2.85
Cr  0.366  0.366  0.901  2.85
Ga  0.750  0.750  0.750  0.06

Calculated values
Formation energy without anion corrections = -0.543 eV per atom
Volume = 285.3 Å³/cell

---

(8)
The following is a DFT calculation (PBE-GGA) of a geometry-optimized MgScRhPb structure.

Unit cell a=4.804 b=4.804 c=4.804 alpha=60.00 beta=60.00 gamma=60.00
Sites, in units of the cell vectors:
Sc  0.500  0.500  0.500
Pb  0.250  0.250  0.250
Rh  0.750  0.750  0.750
Mg  0.000  0.000  0.000

Calculated values
Distance to the lowest polymorph of the same formula = 130.7 meV/atom
E_form = -0.38 eV/atom
Volume = 78.4 Å³/cell

---

(9)
The following is a DFT calculation (PBE-GGA) of a geometry-optimized La2Al4Si3Pd structure.

Unit cell a=4.216 b=4.216 c=10.929 alpha=90.00 beta=90.00 gamma=90.00
Sites, in units of the cell vectors:
Al  0.500  0.000  0.627
Al  0.500  0.500  0.000
Al  0.000  0.500  0.373
Al  0.000  0.000  0.000
La  0.500  0.000  0.252
La  0.000  0.500  0.748
Si  0.500  0.000  0.860
Si  0.000  0.000  0.500
Si  0.000  0.500  0.140
Pd  0.500  0.500  0.500

Calculated values
Formation energy without anion corrections = -0.505 eV per atom
Volume = 194.3 Å³/cell

---

(10)
The following is a DFT calculation (PBE-GGA) of a geometry-optimized Pr3Nd3Zn2 structure.

Unit cell a=5.223 b=6.480 c=15.844 alpha=90.00 beta=90.00 gamma=113.76
Sites, in units of the cell vectors:
Zn  0.232  0.464  0.356
Zn  0.768  0.536  0.856
Zn  0.768  0.536  0.644
Zn  0.232  0.464  0.144
Nd  0.649  0.299  0.477
Nd  0.351  0.701  0.977
Nd  0.552  0.103  0.750
Nd  0.351  0.701  0.523
Nd  0.649  0.299  0.023
Nd  0.448  0.897  0.250
Pr  0.276  0.553  0.750
Pr  0.028  0.056  0.609
Pr  0.028  0.056  0.891
Pr  0.724  0.447  0.250
Pr  0.972  0.944  0.109
Pr  0.972  0.944  0.391

Calculated values
E_form = -0.08 eV/atom
Volume = 490.8 Å³/cell

---

(11)
The following is a DFT calculation (PBE-GGA) of a geometry-optimized TbAg3F7 structure.

Unit cell a=5.672 b=5.672 c=6.982 alpha=63.63 beta=63.63 gamma=87.54
Each line ends with the local moment (μB).
Sites, in units of the cell vectors:
F  0.090  0.610  0.257  0.05
F  0.946  0.368  0.765  0.04
F  0.164  0.164  0.132  0.02
F  0.604  0.604  0.292  0.08
F  0.368  0.946  0.765  0.04
F  0.610  0.090  0.257  0.05
F  0.877  0.877  0.764  0.07
Ag  0.505  0.505  0.997  0.17
Ag  0.242  0.760  0.498  0.28
Ag  0.760  0.242  0.498  0.28
Tb  0.960  0.960  0.026  0.00

Calculated values
Formation energy without anion corrections = -2.149 eV per atom
Volume = 176.9 Å³/cell

---

(12)
The following is a DFT calculation (PBE-GGA) of a geometry-optimized SrTcPb structure.

Unit cell a=3.772 b=3.772 c=6.656 alpha=90.00 beta=90.00 gamma=120.00
Sites, in units of the cell vectors:
Pb  0.000  0.000  0.943
Tc  0.333  0.667  0.693
Sr  0.667  0.333  0.364

Calculated values
Distance to the lowest polymorph of the same formula = 228.2 meV/atom
E_form = 0.62 eV/atom
Volume = 82.0 Å³/cell

---

(13)
The following is a DFT calculation (PBE-GGA) of a geometry-optimized BaNiSe structure.

Unit cell a=6.859 b=4.077 c=6.098 alpha=70.42 beta=103.82 gamma=90.04
Sites, in units of the cell vectors:
Ba  0.243  0.186  0.282
Ba  0.696  0.847  0.960
Se  0.315  0.449  0.754
Se  0.794  0.111  0.429
Ni  0.943  0.515  0.622
Ni  0.140  0.929  0.793

Calculated values
Formation energy without anion corrections = -0.878 eV per atom
Volume = 155.4 Å³/cell

---

(14)
The following is a DFT calculation (PBE-GGA) of a geometry-optimized AcPrYAl structure.

Unit cell a=5.598 b=5.598 c=5.598 alpha=60.00 beta=60.00 gamma=60.00
Sites, in units of the cell vectors:
Pr  0.500  0.500  0.500
Ac  0.250  0.250  0.250
Y  0.000  0.000  0.000
Al  0.750  0.750  0.750

Calculated values
E_form = 0.05 eV/atom
Volume = 124.0 Å³/cell

---

(15)
The following is a DFT calculation (PBE-GGA) of a geometry-optimized Hf2PdAu2 structure.

Unit cell a=7.403 b=7.403 c=3.537 alpha=90.00 beta=90.00 gamma=90.00
Sites, in units of the cell vectors:
Au  0.867  0.633  0.000
Au  0.133  0.367  0.000
Au  0.633  0.133  0.000
Au  0.367  0.867  0.000
Hf  0.329  0.171  0.500
Hf  0.671  0.829  0.500
Hf  0.829  0.329  0.500
Hf  0.171  0.671  0.500
Pd  0.500  0.500  0.000
Pd  0.000  0.000  0.000

Calculated values
Distance to the lowest polymorph of the same formula = 0.0 meV/atom
E_form = -0.47 eV/atom
Volume = 193.8 Å³/cell

---

(16)
The following is a DFT calculation (PBE-GGA) of a geometry-optimized RbInPb structure.

Unit cell a=13.479 b=13.479 c=9.900 alpha=47.10 beta=47.10 gamma=90.00
Sites, in units of the cell vectors:
Pb  0.385  0.000  0.000
Pb  0.000  0.385  0.000
Pb  0.000  0.615  0.000
Pb  0.615  0.000  0.000
In  0.215  0.215  0.000
In  0.785  0.785  0.000
In  0.215  0.785  0.000
In  0.785  0.215  0.000
Rb  0.290  0.500  0.000
Rb  0.500  0.290  0.000
Rb  0.500  0.710  0.000
Rb  0.710  0.500  0.000

Calculated values
E_form = 0.00 eV/atom
Volume = 486.5 Å³/cell

---

(17)
The following is a DFT calculation (PBE-GGA) of a geometry-optimized BeOsAu2 structure.

Unit cell a=5.002 b=5.002 c=4.894 alpha=70.51 beta=70.51 gamma=31.40
Sites, in units of the cell vectors:
Be  0.500  0.500  0.448
Os  0.217  0.217  0.299
Au  0.784  0.784  0.742
Au  0.999  0.999  0.011

Calculated values
E_form = 0.34 eV/atom
Volume = 59.8 Å³/cell

---

(18)
The following is a DFT calculation (PBE-GGA) of a geometry-optimized Pr2CoSn6 structure.

Unit cell a=4.160 b=7.109 c=9.023 alpha=113.20 beta=90.00 gamma=90.00
Sites, in units of the cell vectors:
Pr  0.500  0.713  0.425
Pr  0.500  0.287  0.575
Sn  0.000  0.064  0.727
Sn  0.000  0.337  0.273
Sn  0.000  0.663  0.727
Sn  0.000  0.936  0.273
Sn  0.500  0.247  0.000
Sn  0.500  0.753  0.000
Co  0.000  0.000  0.000

Calculated values
E_form = -0.29 eV/atom
Volume = 245.3 Å³/cell

---

(19)
The following is a DFT calculation (PBE-GGA) of a geometry-optimized ScSiIN2 structure.

Unit cell a=3.777 b=3.777 c=5.518 alpha=90.00 beta=90.00 gamma=90.00
Sites, in units of the cell vectors:
Si  0.000  0.000  0.000
N  0.000  0.500  0.000
N  0.500  0.000  0.000
I  0.000  0.000  0.500
Sc  0.500  0.500  0.500

Calculated values
Distance to the lowest polymorph of the same formula = 0.0 meV/atom
Formation energy without anion corrections = 0.564 eV per atom
Volume = 78.7 Å³/cell

---

(20)
The following is a DFT calculation (PBE-GGA) of a geometry-optimized TbNdGdAl structure.

Unit cell a=5.427 b=5.427 c=5.427 alpha=60.00 beta=60.00 gamma=60.00
Each line ends with the local moment (μB).
Sites, in units of the cell vectors:
Tb  0.000  0.000  0.000  -0.30
Nd  0.250  0.250  0.250  -0.14
Gd  0.750  0.750  0.750  -7.26
Al  0.500  0.500  0.500  0.01

Calculated values
E_form = -0.06 eV/atom
Volume = 113.0 Å³/cell